(w)
VASP calculation (meta-GGA SCAN) on a PBEsol-optimized structure of SrIn2Mo.

Cell lengths 5.088, 5.088, 5.088 Å; angles 60.00, 60.00, 60.00 degrees
Sites, in units of the cell vectors:
In1 0.250 0.250 0.250
Sr1 0.500 0.500 0.500
In2 0.750 0.750 0.750
Mo1 0.000 0.000 0.000

Results
density = 7.37 g/cm3
magnetic moment = 3.3 Bohr magnetons per cell
symmetry = Fm-3m, No. 225

(x)
VASP calculation (meta-GGA SCAN) on a PBEsol-optimized structure of SrIn2Mo.

Cell lengths 3.737, 4.916, 5.935 Å; angles 114.47, 108.35, 90.00 degrees
Sites, in units of the cell vectors:
Mo1 0.481 0.481 0.962
Sr1 0.234 0.734 0.468
In1 0.011 0.011 0.021
In2 0.774 0.274 0.548

Results
density = 7.37 g/cm3
magnetic moment = 1.0 Bohr magnetons per cell
symmetry = Imm2, No. 44

What should be chosen as the most stable of them? Choose (w).

(w)
VASP calculation (meta-GGA SCAN) on a PBEsol-optimized structure of InTcMo.

Cell lengths 2.887, 4.427, 4.427 Å; angles 120.00, 90.00, 90.00 degrees
Sites, in units of the cell vectors:
Mo1 0.588 0.667 0.333
In1 0.008 0.000 0.000
Tc1 0.405 0.333 0.667

Results
density = 10.46 g/cm3
magnetic moment = 0.0 Bohr magnetons per cell
symmetry = P3m1, No. 156

(x)
VASP calculation (meta-GGA SCAN) on a PBEsol-optimized structure of InTcMo.

Cell lengths 4.330, 4.330, 4.330 Å; angles 60.00, 60.00, 60.00 degrees
Sites, in units of the cell vectors:
Mo1 0.250 0.250 0.250
Tc1 0.000 0.000 0.000
In1 0.500 0.500 0.500

Results
density = 8.93 g/cm3
magnetic moment = 0.0 Bohr magnetons per cell
symmetry = F-43m, No. 216

What should be chosen as the most stable of them? Choose (w).

(w)
VASP calculation (meta-GGA SCAN) on a PBEsol-optimized structure of InTeMo2.

Cell lengths 3.245, 3.245, 8.902 Å; angles 79.50, 79.50, 60.00 degrees
Sites, in units of the cell vectors:
In1 0.258 0.258 0.226
Mo1 0.009 0.009 0.972
Te1 0.490 0.490 0.531
Mo2 0.743 0.743 0.772

Results
density = 9.09 g/cm3
magnetic moment = 0.0 Bohr magnetons per cell
symmetry = R3m, No. 160

(x)
VASP calculation (meta-GGA SCAN) on a PBEsol-optimized structure of InTeMo2.

Cell lengths 3.262, 3.262, 6.668 Å; angles 90.00, 90.00, 90.00 degrees
Sites, in units of the cell vectors:
Mo1 0.000 0.000 0.766
In1 0.500 0.500 0.500
Te1 0.500 0.500 0.000
Mo2 0.000 0.000 0.234

Results
density = 10.17 g/cm3
magnetic moment = 0.0 Bohr magnetons per cell
symmetry = P4/mmm, No. 123

What should be chosen as the most stable of them? Choose (w).

(w)
VASP calculation (meta-GGA SCAN) on a PBEsol-optimized structure of TlIn2Mo.

Cell lengths 3.024, 5.115, 5.295 Å; angles 90.00, 90.04, 90.00 degrees
Sites, in units of the cell vectors:
Mo1 0.376 0.000 0.543
Tl1 0.374 0.500 0.217
In1 0.874 0.000 0.040
In2 0.876 0.500 0.700

Results
density = 10.75 g/cm3
magnetic moment = 0.0 Bohr magnetons per cell
symmetry = Pmm2, No. 25

(x)
VASP calculation (meta-GGA SCAN) on a PBEsol-optimized structure of TlIn2Mo.

Cell lengths 3.094, 5.297, 5.345 Å; angles 111.44, 90.00, 90.00 degrees
Sites, in units of the cell vectors:
Tl1 0.000 0.500 0.500
In1 0.000 0.000 0.000
In2 0.500 0.500 0.000
Mo1 0.500 0.000 0.500

Results
density = 10.79 g/cm3
magnetic moment = 0.0 Bohr magnetons per cell
symmetry = P2/m, No. 10

What should be chosen as the most stable of them? Choose (w).